1.
Nb2CdTeAs | Alexandria via LeMat-Bulk | SCAN | PBEsol geometry; ρ = 6.2 g cm⁻³; crystal system = tetragonal; spin magnetization = 4.46 μB/f.u.; density of states at the Fermi level = 3.98 states/eV/f.u.; ΔE_f (raw) = 1.728 eV/atom
1.0
-0.3029 2.4064 -4.4313
-4.5791 1.9557 1.3750
2.3705 4.0993 2.0640
Te As Nb Cd
1 1 2 1
direct
0.5000 0.0000 0.0000 Te
0.5000 0.5000 0.5000 As
0.0000 0.5000 0.0000 Nb
0.0000 0.0000 0.5000 Nb
0.0000 0.0000 0.0000 Cd

***

2.
NbCdTeAs2 | Alexandria via LeMat-Bulk | SCAN | PBEsol geometry; ρ = 5.6 g cm⁻³; crystal system = tetragonal; spin magnetization = 2.86 μB/f.u.; density of states at the Fermi level = 4.38 states/eV/f.u.; ΔE_f (raw) = 1.297 eV/atom
1.0
5.1417 0.0000 0.0000
0.0000 5.2609 0.0000
0.0000 0.0000 5.2609
As Te Cd Nb
2 1 1 1
direct
0.0000 0.5000 0.0000 As
0.0000 0.0000 0.5000 As
0.0000 0.0000 0.0000 Te
0.5000 0.0000 0.0000 Cd
0.5000 0.5000 0.5000 Nb

***

3.
Cd3NiAs | Alexandria via LeMat-Bulk | SCAN | PBEsol geometry; ρ = 7.1 g cm⁻³; crystal system = cubic; spin magnetization = 0.00 μB/f.u.; density of states at the Fermi level = 2.41 states/eV/f.u.; energy relative to the elements = 0.48 eV/atom
1.0
4.7981 0.0000 0.0000
0.0000 4.7981 0.0000
0.0000 0.0000 4.7981
Cd Ni As
3 1 1
direct
0.0000 0.0000 0.5000 Cd
0.5000 0.0000 0.0000 Cd
0.0000 0.5000 0.0000 Cd
0.0000 0.0000 0.0000 Ni
0.5000 0.5000 0.5000 As

***

4.
Cd2NiAs | Alexandria via LeMat-Bulk | SCAN | PBEsol geometry; ρ = 8.5 g cm⁻³; crystal system = trigonal; spin magnetization = 0.00 μB/f.u.; density of states at the Fermi level = 2.42 states/eV/f.u.; energy relative to the elements = 0.26 eV/atom
1.0
-1.1150 0.9580 2.5590
-1.4967 -1.8524 1.7430
6.9985 -2.6141 5.7297
Cd Ni As
2 1 1
direct
0.7604 0.7604 0.7187 Cd
0.2396 0.2396 0.2813 Cd
0.5000 0.5000 0.5000 Ni
0.0000 0.0000 0.0000 As

***

5.
CdNiAs3 | Alexandria via LeMat-Bulk | SCAN | PBEsol geometry; ρ = 5.3 g cm⁻³; crystal system = cubic; spin magnetization = 1.50 μB/f.u.; density of states at the Fermi level = 6.83 states/eV/f.u.; energy relative to the elements = 1.54 eV/atom
1.0
-1.7343 -4.4175 -1.5382
-1.4275 -1.0624 4.6607
-4.4545 2.0603 -0.8947
Cd As Ni
1 3 1
direct
0.0000 0.0000 0.0000 Cd
0.0000 0.0000 0.5000 As
0.5000 0.0000 0.0000 As
0.0000 0.5000 0.0000 As
0.5000 0.5000 0.5000 Ni

***

6.
Cd2NiAs | Alexandria via LeMat-Bulk | SCAN | PBEsol geometry; ρ = 8.6 g cm⁻³; crystal system = cubic; spin magnetization = 0.00 μB/f.u.; density of states at the Fermi level = 4.02 states/eV/f.u.; energy relative to the elements = 0.32 eV/atom
1.0
-0.4766 3.6400 -2.7829
-1.1437 -0.6139 -4.4200
-4.1825 1.2289 -1.4890
Cd Ni As
2 1 1
direct
0.7500 0.7500 0.7500 Cd
0.0000 0.0000 0.0000 Cd
0.2500 0.2500 0.2500 Ni
0.5000 0.5000 0.5000 As

***

7.
CdNiAs2 | Alexandria via LeMat-Bulk | SCAN | PBEsol geometry; ρ = 7.4 g cm⁻³; crystal system = monoclinic; spin magnetization = 0.00 μB/f.u.; density of states at the Fermi level = 1.55 states/eV/f.u.; energy relative to the elements = -0.10 eV/atom
1.0
3.6261 0.0000 0.0000
-1.8130 3.1233 -0.0202
0.0000 -2.0706 6.3527
As Cd Ni
2 1 1
direct
0.2266 0.4531 0.1791 As
0.7734 0.5469 0.8209 As
0.0000 0.0000 0.5000 Cd
0.5000 0.0000 0.0000 Ni

***

8.
Cd2As2O7 | Alexandria via LeMat-Bulk | SCAN | PBEsol geometry; ρ = 5.3 g cm⁻³; crystal system = monoclinic; spin magnetization = 0.00 μB/f.u.; density of states at the Fermi level = 0.00 states/eV/f.u.; ΔE_f (raw) = -1.398 eV/atom
1.0
4.9039 0.0104 0.0139
-0.7168 5.6877 -0.0054
-0.7168 -1.5783 5.4643
O As Cd
7 2 2
direct
0.2185 0.3906 0.3906 O
0.7815 0.6094 0.6094 O
0.7227 0.3939 0.0803 O
0.2773 0.6061 0.9197 O
0.0000 0.0000 0.0000 O
0.7227 0.0803 0.3939 O
0.2773 0.9197 0.6061 O
0.0911 0.7701 0.7701 As
0.9089 0.2299 0.2299 As
0.5000 0.3035 0.6965 Cd
0.5000 0.6965 0.3035 Cd

***

9.
Cd2AsO | Alexandria via LeMat-Bulk | SCAN | PBEsol geometry; ρ = 6.2 g cm⁻³; crystal system = tetragonal; spin magnetization = 0.00 μB/f.u.; density of states at the Fermi level = 2.73 states/eV/f.u.; ΔE_f (raw) = -0.416 eV/atom
1.0
-2.4562 0.0919 -5.1793
6.5566 -0.1346 0.0611
2.4142 -5.0511 -1.2345
Cd O As
4 2 2
direct
0.5604 0.7500 0.3750 Cd
0.3750 0.2500 0.1896 Cd
0.8750 0.2500 0.5604 Cd
0.1896 0.7500 0.8750 Cd
0.2500 0.5000 0.2500 O
0.5000 0.0000 0.5000 O
0.7500 0.5000 0.7500 As
0.0000 0.0000 0.0000 As

***

10.
CdAsSe2O | Alexandria via LeMat-Bulk | SCAN | PBEsol geometry; ρ = 6.7 g cm⁻³; crystal system = tetragonal; spin magnetization = 0.00 μB/f.u.; density of states at the Fermi level = 3.74 states/eV/f.u.; ΔE_f (raw) = 0.359 eV/atom
1.0
-0.2020 -2.8505 3.5254
-0.3185 -3.5113 -2.8573
4.3408 -0.3596 -0.0420
Se As O Cd
2 1 1 1
direct
0.5000 0.0000 0.0000 Se
0.0000 0.5000 0.0000 Se
0.0000 0.0000 0.5000 As
0.0000 0.0000 0.0000 O
0.5000 0.5000 0.5000 Cd

***

11.
CdTeAs2O | Alexandria via LeMat-Bulk | SCAN | PBEsol geometry; ρ = 7.1 g cm⁻³; crystal system = tetragonal; spin magnetization = 0.00 μB/f.u.; density of states at the Fermi level = 1.53 states/eV/f.u.; ΔE_f (raw) = 0.158 eV/atom
1.0
-0.0382 -0.4939 4.4251
-2.7865 -3.4490 -0.4090
3.7353 -2.9821 -0.3006
As Cd Te O
2 1 1 1
direct
0.0000 0.5000 0.0000 As
0.5000 0.0000 0.0000 As
0.0000 0.0000 0.5000 Cd
0.5000 0.5000 0.5000 Te
0.0000 0.0000 0.0000 O

***

12.
Cd2AsOs | Alexandria via LeMat-Bulk | SCAN | PBEsol geometry; ρ = 11.4 g cm⁻³; crystal system = trigonal; spin magnetization = 0.86 μB/f.u.; density of states at the Fermi level = 1.77 states/eV/f.u.; energy relative to the elements = 0.52 eV/atom
1.0
2.8597 0.0000 0.0000
1.4298 2.4765 0.0000
1.4298 0.8255 10.0403
Cd Os As
2 1 1
direct
0.2444 0.2444 0.2669 Cd
0.7556 0.7556 0.7331 Cd
0.5000 0.5000 0.5000 Os
0.0000 0.0000 0.0000 As

***

13.
Cd2AsOs | Alexandria via LeMat-Bulk | SCAN | PBEsol geometry; ρ = 10.5 g cm⁻³; crystal system = orthorhombic; spin magnetization = 0.00 μB/f.u.; density of states at the Fermi level = 2.16 states/eV/f.u.; energy relative to the elements = 0.27 eV/atom
1.0
-0.3889 1.0079 -2.7025
3.5889 -1.3471 -1.0188
-4.3208 -5.7153 0.0574
Os Cd As
1 2 1
direct
0.5000 0.0000 0.0000 Os
0.1861 0.1861 0.3722 Cd
0.8139 0.8139 0.6278 Cd
0.0000 0.5000 0.0000 As

***

14.
Cd2AsOs | Alexandria via LeMat-Bulk | SCAN | PBEsol geometry; ρ = 10.2 g cm⁻³; crystal system = orthorhombic; spin magnetization = 0.00 μB/f.u.; density of states at the Fermi level = 2.65 states/eV/f.u.; energy relative to the elements = 0.24 eV/atom
1.0
-0.4399 1.6085 2.4658
-0.3564 -3.9032 2.4825
6.1193 1.2369 -1.5120
Cd Os As
2 1 1
direct
0.9890 0.9890 0.9781 Cd
0.8104 0.3104 0.6208 Cd
0.5193 0.5193 0.0386 Os
0.1813 0.6813 0.3625 As

***

15.
CdAsOs2 | Alexandria via LeMat-Bulk | SCAN | PBEsol geometry; ρ = 15.0 g cm⁻³; crystal system = tetragonal; spin magnetization = 0.00 μB/f.u.; E above lowest polymorph = 0.3613 eV per atom; density of states at the Fermi level = 3.09 states/eV/f.u.; energy relative to the elements = 0.86 eV/atom
1.0
4.1230 0.0000 0.0000
-2.0615 4.2330 0.0132
0.0000 1.9967 3.6073
Cd As Os
1 1 2
direct
0.7500 0.5000 0.7500 Cd
0.5000 0.0000 0.5000 As
0.2500 0.5000 0.2500 Os
0.0000 0.0000 0.0000 Os

***

16.
CdAsOs3 | Alexandria via LeMat-Bulk | SCAN | PBEsol geometry; ρ = 11.8 g cm⁻³; crystal system = cubic; spin magnetization = 3.44 μB/f.u.; density of states at the Fermi level = 5.17 states/eV/f.u.; energy relative to the elements = 3.37 eV/atom
1.0
-4.2043 0.6599 2.0883
0.0096 -4.5147 1.4459
2.1901 1.2866 4.0026
Os Cd As
3 1 1
direct
0.0000 0.0000 0.5000 Os
0.5000 0.0000 0.0000 Os
0.0000 0.5000 0.0000 Os
0.0000 0.0000 0.0000 Cd
0.5000 0.5000 0.5000 As

***

17.
CdAsOs2 | Alexandria via LeMat-Bulk | SCAN | PBEsol geometry; ρ = 14.4 g cm⁻³; crystal system = monoclinic; spin magnetization = 0.00 μB/f.u.; E above lowest polymorph = 0.0000 eV per atom; density of states at the Fermi level = 3.13 states/eV/f.u.; energy relative to the elements = 0.50 eV/atom
1.0
2.8776 0.0000 0.0000
0.0000 5.1236 -0.1290
-1.4388 -2.5854 4.4962
As Os Cd
1 2 1
direct
0.5293 0.5172 0.0587 As
0.2673 0.8460 0.5346 Os
0.9769 0.8529 0.9538 Os
0.7265 0.2838 0.4530 Cd

***

18.
Cd2AsOs | Alexandria via LeMat-Bulk | SCAN | PBEsol geometry; ρ = 10.7 g cm⁻³; crystal system = orthorhombic; spin magnetization = 0.00 μB/f.u.; density of states at the Fermi level = 2.36 states/eV/f.u.; energy relative to the elements = 0.35 eV/atom
1.0
2.8763 -0.0019 0.0000
-1.3899 2.5182 0.0000
0.0000 0.0000 10.4668
As Cd Os
1 2 1
direct
0.5000 0.5000 0.3011 As
0.5000 0.5000 0.7190 Cd
0.0000 0.0000 0.9921 Cd
0.0000 0.0000 0.4878 Os

***

19.
CdAs3P | Alexandria via LeMat-Bulk | SCAN | PBEsol geometry; ρ = 5.7 g cm⁻³; crystal system = cubic; spin magnetization = 0.00 μB/f.u.; E above lowest polymorph = 0.0000 eV per atom; density of states at the Fermi level = 3.58 states/eV/f.u.; energy relative to the elements = 0.69 eV/atom
1.0
4.7565 0.0000 0.0000
0.0000 4.7565 0.0000
0.0000 0.0000 4.7565
Cd As P
1 3 1
direct
0.5000 0.5000 0.5000 Cd
0.0000 0.0000 0.5000 As
0.0000 0.5000 0.0000 As
0.5000 0.0000 0.0000 As
0.0000 0.0000 0.0000 P

***

20.
CdAs2P6 | Alexandria via LeMat-Bulk | SCAN | PBEsol geometry; ρ = 4.3 g cm⁻³; crystal system = trigonal; spin magnetization = 0.00 μB/f.u.; density of states at the Fermi level = 3.03 states/eV/f.u.; energy relative to the elements = 0.29 eV/atom
1.0
-0.3807 -0.0248 4.3971
6.5629 -1.5016 0.5598
-1.9886 6.4550 -0.1358
As P Cd
2 6 1
direct
0.5000 0.3333 0.6667 As
0.5000 0.6667 0.3333 As
0.1719 0.3863 0.3863 P
0.8281 0.6137 0.6137 P
0.8281 0.0000 0.3863 P
0.8281 0.3863 0.0000 P
0.1719 0.0000 0.6137 P
0.1719 0.6137 0.0000 P
0.0000 0.0000 0.0000 Cd